1.
# CuNiSnHg2

An optimized crystal structure of CuNiSnHg2 (PBE, Alexandria via LeMat-Bulk).

Unit cell a=5.0021 b=5.0021 c=4.7645 alpha=90.00 beta=90.00 gamma=90.00
Space group P4/mmm (No. 123)
Asymmetric unit:
Cu  0.0000  0.0000  0.0000
Ni  0.5000  0.5000  0.5000
Sn  0.5000  0.5000  0.0000
Hg  0.0000  0.5000  0.5000

The value obtained for the total magnetic moment is 0.0 μB per formula unit. Its crystal system is tetragonal. Its electronic total energy is -12.45 eV for the cell shown. For the formation energy, the calculation gives 407 meV/atom.

2.
# B2C

An optimized crystal structure of B2C (PBE, Alexandria via LeMat-Bulk).

Unit cell a=9.2925 b=2.6524 c=8.3908 alpha=90.00 beta=92.95 gamma=90.00
Space group Cm (No. 8)
Asymmetric unit:
B  0.0000  0.0000  0.0000
B  0.0098  0.5000  0.7752
B  0.2552  0.0000  0.8365
B  0.2820  0.0000  0.2054
B  0.3081  0.5000  0.9949
B  0.3680  0.5000  0.5937
B  0.4372  0.5000  0.4097
B  0.4651  0.0000  0.2766
C  0.0468  0.5000  0.1173
C  0.0813  0.0000  0.8331
C  0.2108  0.5000  0.1454
C  0.3502  0.0000  0.6868

The value obtained for the total magnetic moment is 0.0 μB per formula unit. Its crystal system is monoclinic. The value obtained for the energy relative to the lowest polymorph listed for this composition is 284 meV/atom. Its electronic total energy is -169.38 eV for the cell shown. For the formation energy, the calculation gives 469 meV/atom.

3.
# HoTe2Pd9

An optimized crystal structure of HoTe2Pd9 (PBE, Alexandria via LeMat-Bulk).

Unit cell a=4.1109 b=4.1109 c=12.2068 alpha=90.00 beta=90.00 gamma=90.00
Space group P4/mmm (No. 123)
Asymmetric unit:
Ho  0.0000  0.0000  0.0000
Te  0.0000  0.0000  0.3337
Pd  0.0000  0.5000  0.1687
Pd  0.0000  0.5000  0.5000
Pd  0.5000  0.5000  0.0000
Pd  0.5000  0.5000  0.3372

For the uncorrected formation energy, the calculation gives -4.94 eV per formula unit. The value obtained for the total magnetic moment is 0.0 μB per formula unit. Its crystal system is tetragonal. Its electronic total energy is -62.53 eV for the cell shown.

4.
# Na4YHf3S8

An optimized crystal structure of Na4YHf3S8 (PBE, Alexandria via LeMat-Bulk).

Unit cell a=7.4588 b=7.4588 c=20.3299 alpha=90.00 beta=90.00 gamma=120.00
Space group R-3m (No. 166, hexagonal axes)
Asymmetric unit:
Na  0.0000  0.0000  0.0000
Na  0.0000  0.5000  0.0000
Y  0.0000  0.0000  0.5000
Hf  0.0000  0.5000  0.5000
S  0.0000  0.0000  0.2397
S  0.0132  0.5066  0.7584

For the uncorrected formation energy, the calculation gives -24.57 eV per formula unit. The value obtained for the total magnetic moment is 0.0 μB per formula unit. Its crystal system is trigonal. Its electronic total energy is -297.58 eV for the cell shown.

5.
# Ba6NiP2I3

An optimized crystal structure of Ba6NiP2I3 (PBE, Alexandria via LeMat-Bulk).

Unit cell a=8.1813 b=14.0974 c=8.8946 alpha=90.00 beta=108.09 gamma=90.00
Space group C2/m (No. 12)
Asymmetric unit:
Ba  0.2317  0.0000  0.2036
Ba  0.2316  0.3338  0.1984
Ni  0.0000  0.5000  0.0000
P  0.0000  0.1659  0.0000
I  0.0000  0.0000  0.5000
I  0.0000  0.3300  0.5000

For the uncorrected formation energy, the calculation gives -13.56 eV per formula unit. The value obtained for the total magnetic moment is 1.0 μB per formula unit. Its crystal system is monoclinic. Its electronic total energy is -92.70 eV for the cell shown.

6.
# Rb3BaPd

An optimized crystal structure of Rb3BaPd (PBE, Alexandria via LeMat-Bulk).

Unit cell a=6.7539 b=6.7539 c=6.7539 alpha=90.00 beta=90.00 gamma=90.00
Space group Pm-3m (No. 221)
Asymmetric unit:
Rb  0.0000  0.0000  0.5000
Ba  0.5000  0.5000  0.5000
Pd  0.0000  0.0000  0.0000

The value obtained for the total magnetic moment is 0.9 μB per formula unit. Its crystal system is cubic. The value obtained for the energy relative to the lowest polymorph listed for this composition is 0 meV/atom. Its electronic total energy is -8.78 eV for the cell shown. For the formation energy, the calculation gives 248 meV/atom.

7.
# Cd2SiO4

An optimized crystal structure of Cd2SiO4 (PBE, Alexandria via LeMat-Bulk).

Unit cell a=6.1060 b=10.0181 c=12.0012 alpha=90.00 beta=90.00 gamma=90.00
Space group Fddd (No. 70, origin choice 2)
Asymmetric unit:
Cd  0.1250  0.3109  0.1250
Si  0.1250  0.1250  0.6250
O  0.0300  0.2717  0.9487

For the uncorrected formation energy, the calculation gives -12.80 eV per formula unit. The value obtained for the total magnetic moment is 0.0 μB per formula unit. Its crystal system is orthorhombic. The value obtained for the energy relative to the lowest polymorph listed for this composition is 0 meV/atom. Its electronic total energy is -319.08 eV for the cell shown.

8.
# ScZnCl

An optimized crystal structure of ScZnCl (PBE, Alexandria via LeMat-Bulk).

Unit cell a=3.2017 b=3.2017 c=13.8329 alpha=90.00 beta=90.00 gamma=90.00
Space group I4mm (No. 107)
Asymmetric unit:
Sc  0.0000  0.0000  0.0000
Zn  0.0000  0.0000  0.6323
Cl  0.0000  0.0000  0.3906

For the uncorrected formation energy, the calculation gives -2.10 eV per formula unit. The value obtained for the total magnetic moment is 0.8 μB per formula unit. Its crystal system is tetragonal. The value obtained for the energy relative to the lowest polymorph listed for this composition is 95 meV/atom. Its electronic total energy is -23.10 eV for the cell shown.

9.
# TbTlHgBr6

An optimized crystal structure of TbTlHgBr6 (PBE, Alexandria via LeMat-Bulk).

Unit cell a=7.3577 b=7.3577 c=14.5841 alpha=90.00 beta=90.00 gamma=120.00
Space group P-31c (No. 163)
Asymmetric unit:
Tb  0.3333  0.6667  0.2500
Tl  0.0000  0.0000  0.0000
Hg  0.3333  0.6667  0.7500
Br  0.0037  0.3723  0.1370

For the uncorrected formation energy, the calculation gives -10.46 eV per formula unit. The value obtained for the total magnetic moment is 0.0 μB per formula unit. Its crystal system is trigonal. Its electronic total energy is -55.58 eV for the cell shown.

10.
# Er2LuMg

An optimized crystal structure of Er2LuMg (PBE, Alexandria via LeMat-Bulk).

Unit cell a=7.6728 b=7.6728 c=7.6728 alpha=90.00 beta=90.00 gamma=90.00
Space group Fm-3m (No. 225)
Asymmetric unit:
Er  0.2500  0.2500  0.2500
Lu  0.0000  0.0000  0.0000
Mg  0.0000  0.0000  0.5000

The value obtained for the total magnetic moment is 0.0 μB per formula unit. Its crystal system is cubic. The value obtained for the energy relative to the lowest polymorph listed for this composition is 58 meV/atom. Its electronic total energy is -60.35 eV for the cell shown. For the formation energy, the calculation gives 39 meV/atom.

11.
# LiDy2HoHg4

An optimized crystal structure of LiDy2HoHg4 (PBE, Alexandria via LeMat-Bulk).

Unit cell a=5.1413 b=5.1413 c=25.4910 alpha=90.00 beta=90.00 gamma=120.00
Space group R-3m (No. 166, hexagonal axes)
Asymmetric unit:
Li  0.0000  0.0000  0.0000
Dy  0.0000  0.0000  0.2544
Ho  0.0000  0.0000  0.5000
Hg  0.0000  0.0000  0.1235
Hg  0.0000  0.0000  0.3744

The value obtained for the total magnetic moment is 0.0 μB per formula unit. Its crystal system is trigonal. Its electronic total energy is -61.69 eV for the cell shown. For the formation energy, the calculation gives -458 meV/atom.

12.
# CoRuPt2

An optimized crystal structure of CoRuPt2 (PBE, Alexandria via LeMat-Bulk).

Unit cell a=2.7327 b=2.7327 c=7.5698 alpha=90.00 beta=90.00 gamma=90.00
Space group P4/mmm (No. 123)
Asymmetric unit:
Co  0.0000  0.0000  0.0000
Ru  0.0000  0.0000  0.5000
Pt  0.5000  0.5000  0.2409

The value obtained for the total magnetic moment is 1.2 μB per formula unit. Its crystal system is tetragonal. The value obtained for the energy relative to the lowest polymorph listed for this composition is 2 meV/atom. Its electronic total energy is -28.44 eV for the cell shown. For the formation energy, the calculation gives 5 meV/atom.

Q: What is the electronic total energy in the first record?
A: -12.45 eV for the cell shown

Q: Which value of electronic total energy does entry 9 give?
A: -55.58 eV for the cell shown

Q: Which of these has the lowest electronic total energy?
A: Cd2SiO4